Record 1
Crystalline Tl4GaHg3 at its relaxed geometry, computed with PBE.

Values from the calculation:
formation enthalpy at 0 K = 0.024 eV per atom
offset from the most stable computed form = 5.3 meV/atom

Unit cell a=3.763 b=3.763 c=15.867 alpha=90.00 beta=90.00 gamma=90.00
Element x y z (fractional)
1 Tl 0.000 0.000 0.885
2 Tl 0.000 0.000 0.115
3 Tl 0.000 0.000 0.368
4 Tl 0.000 0.000 0.632
5 Hg 0.500 0.500 0.244
6 Hg 0.500 0.500 0.500
7 Hg 0.500 0.500 0.756
8 Ga 0.500 0.500 0.000



Record 2
Crystalline Tl3GaHg2 at its relaxed geometry, computed with PBE.

Values from the calculation:
formation enthalpy at 0 K = 0.029 eV per atom

Unit cell a=4.768 b=11.660 c=12.225 alpha=90.00 beta=90.00 gamma=90.00
Element x y z (fractional)
1 Tl 0.250 0.342 0.034
2 Tl 0.750 0.658 0.966
3 Tl 0.750 0.842 0.466
4 Tl 0.250 0.158 0.534
5 Tl 0.250 0.662 0.203
6 Tl 0.750 0.338 0.797
7 Tl 0.750 0.162 0.297
8 Tl 0.250 0.838 0.703
9 Tl 0.250 0.374 0.329
10 Tl 0.750 0.626 0.671
11 Tl 0.750 0.874 0.171
12 Tl 0.250 0.126 0.829
13 Ga 0.250 0.071 0.126
14 Ga 0.750 0.929 0.874
15 Ga 0.750 0.571 0.374
16 Ga 0.250 0.429 0.626
17 Hg 0.250 0.638 0.481
18 Hg 0.750 0.362 0.519
19 Hg 0.750 0.138 0.019
20 Hg 0.250 0.862 0.981
21 Hg 0.250 0.961 0.344
22 Hg 0.750 0.039 0.656
23 Hg 0.750 0.461 0.156
24 Hg 0.250 0.539 0.844



Record 3
Crystalline Tl4GaHg3 at its relaxed geometry, computed with PBE.

Values from the calculation:
formation enthalpy at 0 K = 0.019 eV per atom
offset from the most stable computed form = 0.0 meV/atom

Unit cell a=3.609 b=4.783 c=13.042 alpha=90.00 beta=90.00 gamma=90.00
Element x y z (fractional)
1 Tl 0.500 0.500 0.318
2 Tl 0.000 0.500 0.834
3 Tl 0.000 0.000 0.165
4 Tl 0.500 0.000 0.681
5 Ga 0.500 0.500 0.061
6 Hg 0.000 0.500 0.572
7 Hg 0.000 0.000 0.427
8 Hg 0.500 0.000 0.941



Record 4
Crystalline Tl2GaHg at its relaxed geometry, computed with PBE.

Values from the calculation:
formation enthalpy at 0 K = 0.127 eV per atom

Unit cell a=4.285 b=4.285 c=7.844 alpha=74.15 beta=74.15 gamma=60.00
Element x y z (fractional)
1 Tl 0.076 0.076 0.772
2 Tl 0.257 0.257 0.229
3 Ga 0.668 0.668 0.995
4 Hg 0.499 0.499 0.504



Record 5
Crystalline Tl7GaHg4 at its relaxed geometry, computed with PBE.

Values from the calculation:
formation enthalpy at 0 K = 0.020 eV per atom

Unit cell a=5.541 b=5.541 c=12.992 alpha=90.00 beta=90.00 gamma=120.00
Element x y z (fractional)
1 Tl 0.000 0.000 0.000
2 Tl 0.667 0.333 0.572
3 Tl 0.333 0.667 0.428
4 Tl 0.667 0.333 0.845
5 Tl 0.333 0.667 0.155
6 Tl 0.000 0.000 0.269
7 Tl 0.000 0.000 0.731
8 Ga 0.000 0.000 0.500
9 Hg 0.667 0.333 0.091
10 Hg 0.333 0.667 0.909
11 Hg 0.667 0.333 0.329
12 Hg 0.333 0.667 0.671



Record 6
Crystalline Tl12GaHg7 at its relaxed geometry, computed with PBE.

Values from the calculation:
formation enthalpy at 0 K = 0.032 eV per atom
offset from the most stable computed form = 15.5 meV/atom

Unit cell a=6.157 b=10.858 c=10.858 alpha=116.51 beta=100.90 gamma=100.90
Element x y z (fractional)
1 Tl 0.091 0.591 0.182
2 Tl 0.091 0.182 0.591
3 Tl 0.565 0.655 0.000
4 Tl 0.435 0.000 0.345
5 Tl 0.500 0.409 0.591
6 Tl 0.090 0.655 0.655
7 Tl 0.910 0.345 0.345
8 Tl 0.500 0.591 0.409
9 Tl 0.565 0.000 0.655
10 Tl 0.435 0.345 0.000
11 Tl 0.909 0.818 0.409
12 Tl 0.909 0.409 0.818
13 Ga 0.000 0.000 0.000
14 Hg 0.115 0.757 0.000
15 Hg 0.885 0.000 0.243
16 Hg 0.642 0.757 0.757
17 Hg 0.500 0.000 0.000
18 Hg 0.358 0.243 0.243
19 Hg 0.115 0.000 0.757
20 Hg 0.885 0.243 0.000



Record 7
Crystalline Tl2Ga2Hg at its relaxed geometry, computed with PBE.

Values from the calculation:
formation enthalpy at 0 K = 0.118 eV per atom
offset from the most stable computed form = 69.7 meV/atom

Unit cell a=8.744 b=8.744 c=3.523 alpha=90.00 beta=90.00 gamma=90.00
Element x y z (fractional)
1 Tl 0.314 0.814 0.000
2 Tl 0.814 0.686 0.000
3 Tl 0.686 0.186 0.000
4 Tl 0.186 0.314 0.000
5 Hg 0.000 0.000 0.000
6 Hg 0.500 0.500 0.000
7 Ga 0.112 0.612 0.500
8 Ga 0.612 0.888 0.500
9 Ga 0.888 0.388 0.500
10 Ga 0.388 0.112 0.500



Record 8
Crystalline TlGa2Hg9 at its relaxed geometry, computed with PBE.

Values from the calculation:
formation enthalpy at 0 K = 0.034 eV per atom

Unit cell a=3.304 b=10.426 c=10.426 alpha=120.00 beta=90.00 gamma=90.00
Element x y z (fractional)
1 Tl 0.000 0.000 0.000
2 Ga 0.000 0.333 0.667
3 Ga 0.000 0.667 0.333
4 Hg 0.000 0.000 0.500
5 Hg 0.000 0.500 0.500
6 Hg 0.000 0.500 0.000
7 Hg 0.500 0.352 0.176
8 Hg 0.500 0.176 0.824
9 Hg 0.500 0.176 0.352
10 Hg 0.500 0.824 0.648
11 Hg 0.500 0.824 0.176
12 Hg 0.500 0.648 0.824



Record 9
Crystalline Tl5GaHg5 at its relaxed geometry, computed with PBE.

Values from the calculation:
formation enthalpy at 0 K = 0.034 eV per atom

Unit cell a=5.761 b=6.805 c=9.211 alpha=100.66 beta=90.00 gamma=115.04
Element x y z (fractional)
1 Tl 0.700 0.400 0.393
2 Tl 0.583 0.165 0.703
3 Tl 0.000 0.000 0.500
4 Tl 0.417 0.835 0.297
5 Tl 0.300 0.600 0.607
6 Ga 0.000 0.000 0.000
7 Hg 0.788 0.575 0.090
8 Hg 0.846 0.692 0.742
9 Hg 0.500 0.000 0.000
10 Hg 0.154 0.308 0.258
11 Hg 0.212 0.425 0.910



Record 10
Crystalline Tl2GaHg6 at its relaxed geometry, computed with PBE.

Values from the calculation:
formation enthalpy at 0 K = 0.034 eV per atom
offset from the most stable computed form = 15.1 meV/atom

Unit cell a=3.792 b=8.688 c=8.688 alpha=120.00 beta=90.00 gamma=90.00
Element x y z (fractional)
1 Tl 0.500 0.333 0.667
2 Tl 0.500 0.667 0.333
3 Ga 0.000 0.000 0.000
4 Hg 0.500 0.000 0.734
5 Hg 0.500 0.734 0.000
6 Hg 0.500 0.266 0.266
7 Hg 0.000 0.628 0.628
8 Hg 0.000 0.372 0.000
9 Hg 0.000 0.000 0.372



Record 11
Crystalline Tl2GaHg8 at its relaxed geometry, computed with PBE.

Values from the calculation:
formation enthalpy at 0 K = 0.008 eV per atom

Unit cell a=5.156 b=5.156 c=11.542 alpha=90.00 beta=90.00 gamma=90.00
Element x y z (fractional)
1 Tl 0.000 0.000 0.317
2 Tl 0.000 0.000 0.683
3 Ga 0.000 0.000 0.000
4 Hg 0.000 0.500 0.500
5 Hg 0.500 0.000 0.500
6 Hg 0.500 0.500 0.314
7 Hg 0.500 0.500 0.686
8 Hg 0.000 0.500 0.136
9 Hg 0.500 0.000 0.136
10 Hg 0.000 0.500 0.864
11 Hg 0.500 0.000 0.864



Record 12
Crystalline Tl2Ga3Hg2 at its relaxed geometry, computed with PBE.

Values from the calculation:
formation enthalpy at 0 K = 0.042 eV per atom

Unit cell a=5.254 b=6.340 c=6.655 alpha=64.80 beta=66.75 gamma=65.52
Element x y z (fractional)
1 Tl 0.167 0.449 0.217
2 Tl 0.833 0.551 0.783
3 Ga 0.500 0.000 0.000
4 Ga 0.415 0.737 0.433
5 Ga 0.585 0.263 0.567
6 Hg 0.133 0.987 0.748
7 Hg 0.867 0.013 0.252



Record 13
Crystalline Tl6GaHg5 at its relaxed geometry, computed with PBE.

Values from the calculation:
formation enthalpy at 0 K = 0.020 eV per atom

Unit cell a=5.524 b=7.528 c=8.679 alpha=90.00 beta=71.11 gamma=90.00
Element x y z (fractional)
1 Tl 0.843 0.757 0.315
2 Tl 0.843 0.243 0.315
3 Tl 0.500 0.240 0.000
4 Tl 0.500 0.760 0.000
5 Tl 0.157 0.757 0.685
6 Tl 0.157 0.243 0.685
7 Hg 0.675 0.500 0.652
8 Hg 0.328 0.000 0.343
9 Hg 0.000 0.500 0.000
10 Hg 0.672 0.000 0.657
11 Hg 0.325 0.500 0.348
12 Ga 0.000 0.000 0.000



Record 14
Crystalline Tl5Ga2Hg5 at its relaxed geometry, computed with PBE.

Values from the calculation:
formation enthalpy at 0 K = 0.031 eV per atom

Unit cell a=4.604 b=8.318 c=9.704 alpha=84.76 beta=76.28 gamma=73.93
Element x y z (fractional)
1 Tl 0.500 0.500 0.500
2 Tl 0.446 0.228 0.880
3 Tl 0.279 0.087 0.355
4 Tl 0.721 0.913 0.645
5 Tl 0.554 0.772 0.120
6 Ga 0.800 0.501 0.899
7 Ga 0.200 0.499 0.101
8 Hg 0.963 0.717 0.357
9 Hg 0.255 0.696 0.795
10 Hg 0.745 0.304 0.205
11 Hg 0.037 0.283 0.643
12 Hg 0.000 0.000 0.000



Record 15
Crystalline Tl5Ga3Hg12 at its relaxed geometry, computed with PBE.

Values from the calculation:
formation enthalpy at 0 K = 0.157 eV per atom

Unit cell a=15.056 b=15.056 c=15.056 alpha=109.47 beta=109.47 gamma=109.47
Element x y z (fractional)
1 Ga 0.750 0.375 0.125
2 Ga 0.875 0.750 0.125
3 Ga 0.375 0.750 0.625
4 Ga 0.250 0.125 0.375
5 Ga 0.875 0.125 0.250
6 Ga 0.375 0.625 0.250
7 Ga 0.625 0.375 0.750
8 Ga 0.125 0.875 0.750
9 Ga 0.750 0.875 0.625
10 Ga 0.625 0.250 0.375
11 Ga 0.125 0.250 0.875
12 Ga 0.250 0.625 0.875
13 Tl 0.125 0.375 0.250
14 Tl 0.000 0.500 0.000
15 Tl 0.000 0.000 0.000
16 Tl 0.375 0.250 0.125
17 Tl 0.500 0.000 0.500
18 Tl 0.500 0.500 0.000
19 Tl 0.125 0.750 0.375
20 Tl 0.750 0.125 0.875
21 Tl 0.750 0.625 0.375
22 Tl 0.375 0.125 0.750
23 Tl 0.625 0.875 0.250
24 Tl 0.500 0.500 0.500
25 Tl 0.500 0.000 0.000
26 Tl 0.000 0.000 0.500
27 Tl 0.250 0.375 0.625
28 Tl 0.250 0.875 0.125
29 Tl 0.000 0.500 0.500
30 Tl 0.875 0.250 0.625
31 Tl 0.625 0.750 0.875
32 Tl 0.875 0.625 0.750
33 Hg 0.744 0.135 0.075
34 Hg 0.331 0.575 0.440
35 Hg 0.925 0.365 0.256
36 Hg 0.575 0.244 0.135
37 Hg 0.610 0.744 0.669
38 Hg 0.925 0.560 0.169
39 Hg 0.331 0.756 0.390
40 Hg 0.060 0.890 0.135
41 Hg 0.560 0.925 0.669
42 Hg 0.744 0.610 0.169
43 Hg 0.756 0.425 0.365
44 Hg 0.831 0.940 0.075
45 Hg 0.135 0.744 0.575
46 Hg 0.365 0.440 0.110
47 Hg 0.110 0.940 0.365
48 Hg 0.390 0.135 0.560
49 Hg 0.110 0.169 0.244
50 Hg 0.425 0.669 0.060
51 Hg 0.831 0.890 0.256
52 Hg 0.135 0.390 0.060
53 Hg 0.365 0.925 0.756
54 Hg 0.560 0.635 0.390
55 Hg 0.940 0.831 0.575
56 Hg 0.756 0.331 0.890
57 Hg 0.440 0.365 0.610
58 Hg 0.060 0.169 0.425
59 Hg 0.244 0.669 0.110
60 Hg 0.169 0.110 0.744
61 Hg 0.635 0.075 0.244
62 Hg 0.865 0.610 0.940
63 Hg 0.575 0.331 0.940
64 Hg 0.610 0.865 0.440
65 Hg 0.890 0.831 0.756
66 Hg 0.890 0.060 0.635
67 Hg 0.865 0.256 0.425
68 Hg 0.169 0.060 0.925
69 Hg 0.635 0.560 0.890
70 Hg 0.440 0.075 0.331
71 Hg 0.256 0.390 0.831
72 Hg 0.244 0.575 0.635
73 Hg 0.940 0.110 0.865
74 Hg 0.669 0.244 0.610
75 Hg 0.425 0.756 0.865
76 Hg 0.075 0.440 0.831
77 Hg 0.390 0.256 0.331
78 Hg 0.075 0.635 0.744
79 Hg 0.669 0.425 0.560
80 Hg 0.256 0.865 0.925



Record 16
Crystalline Tl2Ga2Hg at its relaxed geometry, computed with PBE.

Values from the calculation:
formation enthalpy at 0 K = 0.094 eV per atom
offset from the most stable computed form = 44.9 meV/atom

Unit cell a=3.164 b=6.271 c=7.116 alpha=82.34 beta=90.01 gamma=104.62
Element x y z (fractional)
1 Tl 0.700 0.400 0.259
2 Tl 0.300 0.600 0.741
3 Ga 0.931 0.862 0.377
4 Ga 0.069 0.138 0.623
5 Hg 0.000 0.000 0.000



Record 17
Crystalline Tl3GaHg7 at its relaxed geometry, computed with PBE.

Values from the calculation:
formation enthalpy at 0 K = 0.024 eV per atom

Unit cell a=9.265 b=9.265 c=10.634 alpha=90.00 beta=90.00 gamma=137.52
Element x y z (fractional)
1 Tl 0.732 0.732 0.500
2 Tl 0.268 0.268 0.000
3 Tl 0.586 0.961 0.326
4 Tl 0.414 0.039 0.826
5 Tl 0.961 0.586 0.674
6 Tl 0.039 0.414 0.174
7 Ga 0.219 0.219 0.500
8 Ga 0.781 0.781 0.000
9 Hg 0.743 0.077 0.615
10 Hg 0.257 0.923 0.115
11 Hg 0.077 0.743 0.385
12 Hg 0.923 0.257 0.885
13 Hg 0.175 0.493 0.475
14 Hg 0.825 0.507 0.975
15 Hg 0.493 0.175 0.525
16 Hg 0.507 0.825 0.025
17 Hg 0.470 0.530 0.250
18 Hg 0.530 0.470 0.750
19 Hg 0.646 0.354 0.250
20 Hg 0.354 0.646 0.750
21 Hg 0.990 0.010 0.250
22 Hg 0.010 0.990 0.750



DOS at the Fermi energy (computed, states/eV/cell): 3.531, 9.190, 2.252, 2.285, 4.523, 7.555, 4.179, 3.830, 4.226, 2.955, 3.428, 2.686, 5.545, 4.065, 54.150, 2.640, 8.804
Total DFT energy (no corrections) (computed, eV per cell): -13.21, -42.22, -13.25, -7.55, -20.55, -32.89, -20.99, -10.73, -16.00, -9.27, -10.09, -14.12, -18.50, -19.03, -85.61, -10.62, -23.96
Magnetic moment (computed, μB per formula unit): 0.0, 0.0, 0.0, 0.0, 0.0, 0.0, 0.0, 0.0, 0.0, 0.0, 0.0, 0.0, 0.0, 0.0, 0.0, 0.0, 0.0